1.
Computed, not measured: a relaxed Pm8NiC3I4 crystal at the PBE-GGA level of DFT.

a = 7.8744 Å, b = 8.9652 Å, c = 7.8778 Å
α = 116.08°, β = 119.99°, γ = 90.00°
Closest atoms and distances in Å follow each position.
Positions (direct):
I1 0.0000 0.0000 0.0000  6 Pm 3.40-3.42
I2 0.5000 0.0000 0.0000  6 Pm 3.30
I3 0.5000 0.0000 0.5000  6 Pm 3.40-3.42
I4 0.0000 0.0000 0.5000  6 Pm 3.40-3.42
C1 0.0000 0.5000 0.5000  6 Pm 2.60-2.64
C2 0.5000 0.5000 0.0000  6 Pm 2.60-2.64
C3 0.5000 0.5000 0.5000  6 Pm 2.60-2.64
Pm1 0.7660 0.3233 0.0573  2 C 2.60-2.61, 1 Ni 2.75
Pm2 0.2341 0.6766 0.4682  2 C 2.60, 1 Ni 2.75
Pm3 0.7245 0.6736 0.4489  3 C 2.64
Pm4 0.2340 0.6767 0.9427  2 C 2.60-2.61, 1 Ni 2.75
Pm5 0.2755 0.3264 0.5511  3 C 2.64
Pm6 0.7087 0.6767 0.9427  2 C 2.60-2.61, 1 Ni 2.75
Pm7 0.7659 0.3234 0.5318  2 C 2.60, 1 Ni 2.75
Pm8 0.2913 0.3233 0.0573  2 C 2.60-2.61, 1 Ni 2.75
Ni1 0.0000 0.5000 0.0000  6 Pm 2.75

Calculated values
- ρ: 7.05 g cm⁻³
- Formation energy (no corrections): -0.6406 eV per atom
- Total moment: 0.00 μB per formula unit


2.
Computed, not measured: a relaxed HfFeReMo crystal at the PBE-GGA level of DFT.

a = 4.4557 Å, b = 4.4557 Å, c = 4.4557 Å
α = 60.00°, β = 60.00°, γ = 60.00°
Closest atoms and distances in Å follow each position.
Positions (direct):
Hf1 0.7500 0.7500 0.7500  4 Re 2.73, 4 Fe 2.73
Mo1 0.2500 0.2500 0.2500  4 Fe 2.73, 4 Re 2.73
Fe1 0.5000 0.5000 0.5000  4 Mo 2.73, 4 Hf 2.73
Re1 0.0000 0.0000 0.0000  4 Hf 2.73, 4 Mo 2.73

Calculated values
- ρ: 13.71 g cm⁻³
- Total moment: 1.27 μB per formula unit


3.
Computed, not measured: a relaxed RbHfNb2Ga crystal at the PBE-GGA level of DFT.

a = 5.0987 Å, b = 5.5635 Å, c = 5.0987 Å
α = 90.00°, β = 90.00°, γ = 90.00°
Closest atoms and distances in Å follow each position.
Positions (direct):
Ga1 0.0000 0.5000 0.0000  2 Hf 2.78
Nb1 0.5000 0.0000 0.0000  2 Hf 2.55
Nb2 0.0000 0.0000 0.5000  2 Hf 2.55
Hf1 0.0000 0.0000 0.0000  4 Nb 2.55, 2 Ga 2.78
Rb1 0.5000 0.5000 0.5000  4 Ga 3.61, 8 Nb 3.77

Calculated values
- ρ: 5.96 g cm⁻³
- Total moment: 0.00 μB per formula unit


no.,DFT total energy (eV/atom)
1,-5.49
2,-10.52
3,-5.49